LiTeMoN2 at its PBEsol-relaxed geometry, computed with SCAN.

Properties
Raw formation energy ... 0.48 eV per formula unit

Structure (CIF):
```
data_LiTeMoN2
_chemical_formula_sum 'Li1 Te1 Mo1 N2'
_symmetry_space_group_name_H-M 'P 4/m m m'
_symmetry_Int_Tables_number 123
_symmetry_space_group_name_Hall '-P 4 2'
_cell_length_a 3.873
_cell_length_b 3.873
_cell_length_c 5.566
_cell_angle_alpha 90.00
_cell_angle_beta 90.00
_cell_angle_gamma 90.00
loop_
_atom_site_label
_atom_site_type_symbol
_atom_site_fract_x
_atom_site_fract_y
_atom_site_fract_z
_atom_site_occupancy
Li1 Li 0.000 0.000 0.000 1
Te1 Te 0.500 0.500 0.000 1
Mo1 Mo 0.500 0.500 0.500 1
N1 N 0.000 0.500 0.500 1
```

***

La2ZnHg at its PBEsol-relaxed geometry, computed with SCAN.

Properties
Energy relative to the elements ... -533 meV per atom

Structure (CIF):
```
data_La2ZnHg
_chemical_formula_sum 'La8 Zn4 Hg4'
_symmetry_space_group_name_H-M 'F m -3 m'
_symmetry_Int_Tables_number 225
_symmetry_space_group_name_Hall '-F 4 2 3'
_cell_length_a 7.542
_cell_length_b 7.542
_cell_length_c 7.542
_cell_angle_alpha 90.00
_cell_angle_beta 90.00
_cell_angle_gamma 90.00
loop_
_atom_site_label
_atom_site_type_symbol
_atom_site_fract_x
_atom_site_fract_y
_atom_site_fract_z
_atom_site_occupancy
La1 La 0.250 0.250 0.250 1
Zn1 Zn 0.000 0.000 0.000 1
Hg1 Hg 0.000 0.000 0.500 1
```

***

Be2CuSi at its PBEsol-relaxed geometry, computed with SCAN.

Properties
Raw formation energy ... 0.78 eV per formula unit

Structure (CIF):
```
data_Be2CuSi
_chemical_formula_sum 'Be2 Cu1 Si1'
_symmetry_space_group_name_H-M 'P 4 m m'
_symmetry_Int_Tables_number 99
_cell_length_a 2.443
_cell_length_b 2.443
_cell_length_c 7.014
_cell_angle_alpha 90.00
_cell_angle_beta 90.00
_cell_angle_gamma 90.00
loop_
_symmetry_equiv_pos_as_xyz
'x,y,z'
'-y,x,z'
'-x,-y,z'
'y,-x,z'
'-x,y,z'
'y,x,z'
'x,-y,z'
'-y,-x,z'
loop_
_atom_site_label
_atom_site_type_symbol
_atom_site_fract_x
_atom_site_fract_y
_atom_site_fract_z
_atom_site_occupancy
Be1 Be 0.000 0.000 0.000 1
Be2 Be 0.500 0.500 0.204 1
Cu1 Cu 0.000 0.000 0.433 1
Si1 Si 0.500 0.500 0.724 1
```

***

Number 1: calculated density 5.14 Mg/m³. Number 2: calculated density 8.42 Mg/m³. Number 3: calculated density 4.35 Mg/m³.